VASP calculation (PBE with a Hubbard U) on an optimized crystal structure of LiMn2O4.

Cell: 5.202 2.907 5.320 Å, 90.00 109.00 90.00°
Fractional coordinates of all 7 atoms:
1 Li 0.000 0.000 0.000
2 Mn 0.500 0.000 0.500
3 Mn 0.500 0.500 0.000
4 O 0.279 0.000 0.806
5 O 0.307 0.500 0.259
6 O 0.693 0.500 0.741
7 O 0.721 0.000 0.194

Computed properties:
* total moment: 7.0 μB per cell
* E_tot: -48.01 eV per cell
* space-group type: No. 10
* volume: 10.867 A^3/atom
* distance to the lowest polymorph of the same formula: 30 kJ/mol of formula units
* crystal system: monoclinic
* theoretical density: 3.95 Mg/m³